(1)
## Pm2Pr2HoTm2 (PBE)

Data for a relaxed structure of Pm2Pr2HoTm2.

extended XYZ file:
```
7
Lattice="5.728 0.000 0.000 2.864 4.961 0.000 2.864 1.654 8.228" Properties=species:S:1:pos:R:3 pbc="T T T"
Pm 8.592 4.961 7.049
Pm 2.864 1.654 1.180
Pr 2.864 1.654 4.820
Pr 8.592 4.961 3.409
Ho 0.000 0.000 0.000
Tm 5.728 3.307 2.353
Tm 5.728 3.307 5.876
```

Summary:
* energy: -4.53 eV per atom
* symmetry: R-3m (166)
* formation energy: 123.3 meV/atom
* total moment: 0.000 μB/cell

***

(2)
## InP2Au (PBE)

Data for a relaxed structure of InP2Au.

extended XYZ file:
```
4
Lattice="4.461 0.000 0.000 0.000 2.769 -0.003 0.000 2.783 6.798" Properties=species:S:1:pos:R:3 pbc="T T T"
Au 0.000 2.429 3.478
In 2.231 3.816 4.792
P 0.000 1.042 1.278
P 2.231 1.041 0.644
```

Summary:
* energy: -4.05 eV per atom
* symmetry: Pmm2 (25)
* formation energy: 161.5 meV/atom
* total moment: 0.000 μB/cell